The following is a PBE-GGA calculation of Na2LiBe3As4 after structural relaxation, from Alexandria via LeMat-Bulk.

Cell lengths 4.131, 4.131, 9.760 Å; angles 90.00, 90.00, 90.00 degrees
Fractional coordinates of all 10 atoms:
As  0.000  0.000  0.000
Li  0.500  0.500  0.500
Be  0.000  0.000  0.500
As  0.500  0.000  0.638
Na  0.500  0.000  0.261
Be  0.000  0.500  0.133
Be  0.500  0.000  0.867
As  0.000  0.500  0.362
As  0.500  0.500  0.000
Na  0.000  0.500  0.739

Theoretical density = 3.8 g cm⁻³
Formation energy from the elements = -281 meV per atom
Size of the total moment = 0.000 μB per formula unit
Final energy = -37.14 eV/cell
Symmetry = P-4m2, No. 115

The following is a PBE-GGA calculation of LiBe2AsO6 after structural relaxation, from Alexandria via LeMat-Bulk.

Cell lengths 5.458, 6.636, 6.636 Å; angles 94.43, 71.51, 71.51 degrees
Fractional coordinates of all 20 atoms:
O  0.322  0.411  0.402
As  0.750  0.823  0.177
O  0.178  0.598  0.589
O  0.440  0.826  0.351
Be  0.617  0.263  0.421
Li  0.750  0.119  0.881
Be  0.383  0.737  0.579
Be  0.117  0.421  0.263
O  0.678  0.589  0.598
O  0.060  0.649  0.174
O  0.940  0.351  0.826
Li  0.250  0.881  0.119
Be  0.883  0.579  0.737
O  0.560  0.174  0.649
As  0.250  0.177  0.823
O  0.215  0.928  0.793
O  0.285  0.207  0.072
O  0.822  0.402  0.411
O  0.785  0.072  0.207
O  0.715  0.793  0.928

Theoretical density = 3.1 g cm⁻³
Size of the total moment = 0.000 μB per formula unit
Final energy = -123.66 eV/cell
Symmetry = C2/c, No. 15
Formation energy from raw total energies = -1743 kJ/mol of formula units

The following is a PBE-GGA calculation of Li2Be2AsO6 after structural relaxation, from Alexandria via LeMat-Bulk.

Cell lengths 4.692, 4.692, 4.822 Å; angles 90.00, 90.00, 120.00 degrees
Fractional coordinates of all 11 atoms:
O  0.664  0.000  0.797
O  0.000  0.337  0.203
Be  0.667  0.333  0.999
As  0.000  0.000  0.000
O  0.000  0.663  0.797
O  0.336  0.000  0.203
O  0.663  0.664  0.203
Li  0.667  0.333  0.500
Li  0.333  0.667  0.500
O  0.337  0.336  0.797
Be  0.333  0.667  0.001

Theoretical density = 3.7 g cm⁻³
Size of the total moment = 1.065 μB per formula unit
Final energy = -64.74 eV/cell
Symmetry = P-31m, No. 162
Formation energy from raw total energies = -1839 kJ/mol of formula units

The following is a PBE-GGA calculation of LiBeAsO4 after structural relaxation, from Alexandria via LeMat-Bulk.

Cell lengths 4.578, 4.578, 4.926 Å; angles 117.69, 117.69, 90.00 degrees
Fractional coordinates of all 7 atoms:
O  0.549  0.636  0.748
O  0.198  0.111  0.748
Li  0.000  0.000  0.000
Be  0.250  0.750  0.500
O  0.364  0.802  0.252
O  0.889  0.451  0.252
As  0.500  0.500  0.000

Theoretical density = 3.3 g cm⁻³
Size of the total moment = 0.000 μB per formula unit
Final energy = -43.71 eV/cell
Symmetry = I-4, No. 82
Formation energy from raw total energies = -1311 kJ/mol of formula units

The following is a PBE-GGA calculation of Li2BeAsO4 after structural relaxation, from Alexandria via LeMat-Bulk.

Cell lengths 5.146, 5.146, 5.146 Å; angles 76.57, 128.03, 128.03 degrees
Fractional coordinates of all 8 atoms:
As  0.500  0.250  0.750
O  0.022  0.178  0.613
O  0.435  0.844  0.822
O  0.565  0.387  0.409
Li  0.000  0.000  0.000
Li  0.500  0.750  0.250
O  0.978  0.591  0.156
Be  0.000  0.500  0.500

Theoretical density = 3.3 g cm⁻³
Size of the total moment = 0.854 μB per formula unit
Final energy = -46.50 eV/cell
Symmetry = I-4, No. 82
Formation energy from raw total energies = -1395 kJ/mol of formula units

The following is a PBE-GGA calculation of LiBeAsPb2 after structural relaxation, from Alexandria via LeMat-Bulk.

Cell lengths 5.227, 4.469, 5.227 Å; angles 90.00, 90.00, 90.00 degrees
Fractional coordinates of all 5 atoms:
Pb  0.500  0.000  0.000
As  0.000  0.500  0.000
Be  0.500  0.500  0.500
Pb  0.000  0.000  0.500
Li  0.000  0.000  0.000

Theoretical density = 6.9 g cm⁻³
Formation energy from the elements = 615 meV per atom
Size of the total moment = 0.000 μB per formula unit
Final energy = -14.63 eV/cell
Symmetry = P4/mmm, No. 123

The following is a PBE-GGA calculation of Li3Be2As4Pd2 after structural relaxation, from Alexandria via LeMat-Bulk.

Cell lengths 4.219, 4.219, 11.353 Å; angles 90.00, 90.00, 120.00 degrees
Fractional coordinates of all 11 atoms:
As  0.667  0.333  0.101
As  0.333  0.667  0.899
Pd  0.333  0.667  0.130
As  0.667  0.333  0.628
Li  0.000  0.000  0.264
Be  0.333  0.667  0.578
As  0.333  0.667  0.372
Be  0.667  0.333  0.422
Li  0.000  0.000  0.736
Pd  0.667  0.333  0.870
Li  0.000  0.000  0.000

Theoretical density = 5.2 g cm⁻³
Formation energy from the elements = -372 meV per atom
Size of the total moment = 0.000 μB per formula unit
Final energy = -46.27 eV/cell
Symmetry = P-3m1, No. 164

The following is a PBE-GGA calculation of Li2BeAsS4 after structural relaxation, from Alexandria via LeMat-Bulk.

Cell lengths 5.585, 5.585, 6.357 Å; angles 116.06, 116.06, 89.99 degrees
Fractional coordinates of all 8 atoms:
Li  0.486  0.986  0.972
Be  0.986  0.486  0.972
S  0.332  0.820  0.201
S  0.651  0.603  0.742
Li  0.236  0.236  0.472
As  0.736  0.736  0.472
S  0.091  0.140  0.742
S  0.869  0.381  0.201

Theoretical density = 2.4 g cm⁻³
Size of the total moment = 0.003 μB per formula unit
Final energy = -34.51 eV/cell
Symmetry = I-4, No. 82
Formation energy from raw total energies = -559 kJ/mol of formula units

The following is a PBE-GGA calculation of LiBeTl2As2 after structural relaxation, from Alexandria via LeMat-Bulk.

Cell lengths 5.934, 6.427, 8.230 Å; angles 112.98, 111.13, 90.00 degrees
Fractional coordinates of all 12 atoms:
As  0.213  0.913  0.826
Be  0.500  0.750  0.000
As  0.387  0.587  0.174
Tl  0.601  0.826  0.651
Be  0.500  0.250  0.000
Tl  0.399  0.174  0.349
Tl  0.050  0.326  0.651
Li  0.000  0.250  0.000
As  0.787  0.087  0.174
Tl  0.950  0.674  0.349
Li  0.000  0.750  0.000
As  0.613  0.413  0.826

Theoretical density = 7.2 g cm⁻³
Formation energy from the elements = -145 meV per atom
Size of the total moment = 0.000 μB per formula unit
Final energy = -41.08 eV/cell
Symmetry = Ibam, No. 72

The following is a PBE-GGA calculation of Lu2BeAs after structural relaxation, from Alexandria via LeMat-Bulk.

Cell lengths 3.776, 3.776, 9.297 Å; angles 78.28, 78.28, 60.00 degrees
Fractional coordinates of all 4 atoms:
Be  0.000  0.000  0.000
Lu  0.896  0.896  0.313
Lu  0.104  0.104  0.687
As  0.500  0.500  0.500

Theoretical density = 6.5 g cm⁻³
Formation energy from the elements = 170 meV per atom
Size of the total moment = 0.000 μB per formula unit
Final energy = -16.74 eV/cell
Symmetry = R-3m, No. 166

The following is a PBE-GGA calculation of MgBe3As after structural relaxation, from Alexandria via LeMat-Bulk.

Cell lengths 4.361, 4.361, 4.361 Å; angles 90.00, 90.00, 90.00 degrees
Fractional coordinates of all 5 atoms:
As  0.000  0.000  0.000
Be  0.500  0.000  0.000
Be  0.000  0.500  0.000
Mg  0.500  0.500  0.500
Be  0.000  0.000  0.500

Theoretical density = 2.5 g cm⁻³
Formation energy from the elements = 815 meV per atom
Size of the total moment = 0.000 μB per formula unit
Final energy = -13.35 eV/cell
Symmetry = Pm-3m, No. 221
Energy above the most stable polymorph in this dataset = 0 meV per atom

The following is a PBE-GGA calculation of MgBeAs4 after structural relaxation, from Alexandria via LeMat-Bulk.

Cell lengths 5.526, 5.526, 5.526 Å; angles 60.00, 60.00, 60.00 degrees
Fractional coordinates of all 6 atoms:
As  0.624  0.624  0.624
Be  0.250  0.250  0.250
As  0.624  0.624  0.127
Mg  0.000  0.000  0.000
As  0.127  0.624  0.624
As  0.624  0.127  0.624

Theoretical density = 4.6 g cm⁻³
Formation energy from the elements = 531 meV per atom
Size of the total moment = 0.000 μB per formula unit
Final energy = -20.73 eV/cell
Symmetry = F-43m, No. 216

The following is a PBE-GGA calculation of MgBeAs2 after structural relaxation, from Alexandria via LeMat-Bulk.

Cell lengths 4.774, 4.774, 4.774 Å; angles 126.58, 126.58, 78.93 degrees
Fractional coordinates of all 4 atoms:
As  0.500  0.500  0.000
Mg  0.750  0.250  0.500
Be  0.250  0.750  0.500
As  0.000  0.000  0.000

Theoretical density = 4.5 g cm⁻³
Formation energy from the elements = 224 meV per atom
Size of the total moment = 0.000 μB per formula unit
Final energy = -13.72 eV/cell
Symmetry = I4/mmm, No. 139
Energy above the most stable polymorph in this dataset = 380 meV per atom